(1)
An optimized crystal structure of YErAs2O8, computed with PBE.

Properties
- Crystal system: tetragonal
- Theoretical density: 6.2 Mg/m³
- N(E_F): 0.000 states/eV per atom
- E: -7.351 eV per atom
- V: 143 Å³/cell

a = 6.6792 Å, b = 6.6792 Å, c = 6.6792 Å
α = 135.71°, β = 135.71°, γ = 64.44°
Sites, in units of the cell vectors:
1 Y 0.0000 0.0000 0.0000
2 Er 0.2500 0.7500 0.5000
3 As 0.5000 0.5000 0.0000
4 As 0.7500 0.2500 0.5000
5 O 0.2719 0.6731 0.1048
6 O 0.3269 0.4316 0.5987
7 O 0.4185 0.0195 0.0952
8 O 0.5684 0.1671 0.8952
9 O 0.6768 0.5815 0.6011
10 O 0.8329 0.7281 0.4013
11 O 0.9243 0.3232 0.9048
12 O 0.9805 0.0757 0.3989

---

(2)
An optimized crystal structure of K8Rb3Sn2, computed with PBE.

Properties
- Crystal system: monoclinic
- Theoretical density: 1.6 Mg/m³
- N(E_F): 0.784 states/eV per atom
- E: -1.553 eV per atom
- V: 812 Å³/cell

a = 9.3063 Å, b = 6.5450 Å, c = 13.6049 Å
α = 90.00°, β = 101.36°, γ = 90.00°
Sites, in units of the cell vectors:
1 K 0.0251 0.0000 0.2661
2 K 0.1736 0.5000 0.9189
3 K 0.2942 0.5000 0.2165
4 K 0.4519 0.0000 0.8547
5 K 0.5481 0.0000 0.1453
6 K 0.7058 0.5000 0.7835
7 K 0.8264 0.5000 0.0811
8 K 0.9749 0.0000 0.7339
9 Rb 0.2227 0.5000 0.5832
10 Rb 0.5000 0.0000 0.5000
11 Rb 0.7773 0.5000 0.4168
12 Sn 0.1586 0.0000 0.0317
13 Sn 0.8414 0.0000 0.9683